{
  "formula": "CsBaSbO4",
  "functional": "PBE-GGA",
  "state": "optimized geometry",
  "final_energy_ev_per_atom": -5.648,
  "e_form_raw_mev_per_atom": -1829,
  "lattice": [[6.834, -0.024, 0.000], [-2.767, 6.249, 0.000], [0.000, 0.000, 8.122]],
  "species": ["O", "O", "O", "O", "O", "O", "Cs", "Sb", "Ba", "Ba", "Cs", "Sb", "O", "O"],
  "frac_coords": [[0.771, 0.833, 0.750], [0.766, 0.234, 0.942], [0.167, 0.229, 0.750], [0.234, 0.766, 0.058], [0.833, 0.771, 0.250], [0.234, 0.766, 0.442], [0.500, 0.500, 0.000], [0.139, 0.861, 0.250], [0.837, 0.163, 0.250], [0.163, 0.837, 0.750], [0.500, 0.500, 0.500], [0.861, 0.139, 0.750], [0.229, 0.167, 0.250], [0.766, 0.234, 0.558]]
}

---

{
  "formula": "CsBaSe2O8",
  "functional": "PBE-GGA",
  "state": "optimized geometry",
  "final_energy_ev_per_atom": -5.371,
  "e_form_raw_mev_per_atom": -1254,
  "lattice": [[6.081, 0.000, 0.000], [3.041, 5.229, -0.027], [3.041, 1.769, 7.480]],
  "species": ["Ba", "O", "Se", "O", "Se", "O", "Cs", "O", "O", "O", "O", "O"],
  "frac_coords": [[0.000, 0.000, 0.000], [0.341, 0.347, 0.971], [0.268, 0.269, 0.196], [0.092, 0.546, 0.271], [0.732, 0.731, 0.804], [0.659, 0.653, 0.029], [0.500, 0.500, 0.500], [0.908, 0.454, 0.729], [0.094, 0.092, 0.268], [0.545, 0.092, 0.268], [0.906, 0.908, 0.732], [0.455, 0.908, 0.732]]
}

---

{
  "formula": "CsBa2Se2O6",
  "functional": "PBE-GGA",
  "state": "optimized geometry",
  "final_energy_ev_per_atom": -5.391,
  "e_form_raw_mev_per_atom": -1625,
  "lattice": [[-3.559, -0.183, -5.872], [1.198, -2.463, -5.990], [-3.969, -7.237, 2.211]],
  "species": ["O", "O", "O", "Se", "Ba", "O", "Ba", "O", "Cs", "Se", "O"],
  "frac_coords": [[0.289, 0.766, 0.847], [0.838, 0.027, 0.695], [0.162, 0.973, 0.305], [0.851, 0.309, 0.294], [0.839, 0.362, 0.874], [0.095, 0.527, 0.835], [0.161, 0.638, 0.126], [0.711, 0.234, 0.153], [0.500, 0.000, 0.500], [0.149, 0.691, 0.706], [0.905, 0.473, 0.165]]
}